## BeGaPt2 (PBE)

Data for an optimized crystal structure of BeGaPt2.

The structure in POSCAR format:
```
BeGaPt2
1.0
-0.828 2.915 2.552
-3.644 0.299 -1.524
-4.886 -3.771 5.796
Be Ga Pt
2 2 4
Cartesian
-5.383 -0.932 2.393
-2.236 1.607 0.514
-3.975 0.375 4.431
0.000 0.000 0.000
-5.414 -1.617 4.702
-7.504 -0.022 5.277
-2.178 0.858 2.802
-3.619 -0.333 0.867
```

The calculation puts the total moment at 0.0 μB per cell. For the total energy, the calculation gives -4.9537 eV/atom. As for the space group: I-42d, No. 122. Its formation energy is -0.245 eV/atom.